Record 1
## LiHf2Au6 (PBE)

Data for a relaxed structure of LiHf2Au6.

Cell: 13.2345 10.1588 5.0133 Å, 90.00 99.87 90.00°
Last column: nearest neighbours and their distance in Å.
Space group C2/c (No. 15)
Unique sites:
Li (0.0000, 0.1233, 0.2500) [4 per cell]  10 Au 2.78-3.01
Hf (0.1640, 0.3729, 0.0773) [8 per cell]  10 Au 2.85-3.00
Au (0.0554, 0.3668, 0.5218) [8 per cell]  4 Hf 2.85-3.00, 1 Li 2.86, 5 Au 2.86-3.07
Au (0.1107, 0.1246, 0.8258) [8 per cell]  3 Li 2.78-3.01, 2 Hf 2.85-2.94, 5 Au 2.87-2.94
Au (0.2234, 0.1234, 0.3677) [8 per cell]  5 Au 2.87-2.94, 4 Hf 2.89-2.96, 1 Li 2.91

Results
Excess energy over the best structure of this formula in the dataset, eV/atom: 0.000

Record 2
## Na2Cd7 (PBE)

Data for a relaxed structure of Na2Cd7.

Cell: 5.9395 5.9395 44.4650 Å, 90.00 90.00 120.00°
Last column: nearest neighbours and their distance in Å.
Space group R-3m (No. 166, hexagonal axes)
Unique sites:
Na (0.0000, 0.0000, 0.0539) [6 per cell]  12 Cd 3.43-3.82
Na (0.0000, 0.0000, 0.1518) [6 per cell]  12 Cd 3.44-3.50, 3 Na 3.68
Cd (0.0000, 0.0000, 0.2775) [6 per cell]  6 Cd 3.02-3.04
Cd (0.0000, 0.0000, 0.3895) [6 per cell]  6 Cd 3.03-3.05
Cd (0.0000, 0.0000, 0.5000) [3 per cell]  6 Cd 2.96
Cd (0.0000, 0.5000, 0.0000) [9 per cell]  8 Cd 2.97-3.03
Cd (0.0043, 0.5022, 0.8874) [18 per cell]  7 Cd 2.93-3.05

Results
Calculated total energy, eV for the cell shown: -58.14

Record 3
## BaSb2SI (PBE)

Data for a relaxed structure of BaSb2SI.

Cell: 5.3538 5.3538 5.8539 Å, 90.00 90.00 90.00°
Last column: nearest neighbours and their distance in Å.
Space group P4/mmm (No. 123)
Unique sites:
Ba (0.0000, 0.0000, 0.0000) [1 per cell]  4 I 3.79, 8 Sb 3.97
Sb (0.0000, 0.5000, 0.5000) [2 per cell]  2 S 2.68
S (0.5000, 0.5000, 0.5000) [1 per cell]  4 Sb 2.68, 2 I 2.93
I (0.5000, 0.5000, 0.0000) [1 per cell]  2 S 2.93

Results
Excess energy over the best structure of this formula in the dataset, eV/atom: 0.000
Uncorrected formation energy, eV per formula unit: -1.345

| no. | total moment (μB per formula unit) |
| --- | --- |
| 1 | 0.00 |
| 2 | 0.00 |
| 3 | 0.00 |